# 1
# La6Nd2Cd, relaxed, DFT PBE-GGA
# **ρ**: 6.4 g/cm³
# **Calculated formation energy**: -0.5 eV/f.u.
# **Size of the total moment**: 0.0 μB per cell
# **Energy above the most stable polymorph in this dataset**: 0.000 eV per atom
# **V**: 35.4 Å³ per atom
data_La6Nd2Cd
_symmetry_space_group_name_H-M 'P -6 2 m'
_symmetry_Int_Tables_number 189
_symmetry_space_group_name_Hall 'P -6 -2'
_cell_length_a 9.9350
_cell_length_b 9.9350
_cell_length_c 3.7303
_cell_angle_alpha 90.00
_cell_angle_beta 90.00
_cell_angle_gamma 120.00
loop_
_atom_site_label
_atom_site_type_symbol
_atom_site_fract_x
_atom_site_fract_y
_atom_site_fract_z
La1 La 0.0000 0.3677 0.0000
La2 La 0.0000 0.7169 0.5000
Nd1 Nd 0.3333 0.6667 0.5000
Cd1 Cd 0.0000 0.0000 0.0000

***

# 2
# La5NdCd, relaxed, DFT PBE-GGA
# **ρ**: 6.1 g/cm³
# **Calculated formation energy**: 0.2 eV/f.u.
# **Size of the total moment**: 0.0 μB per cell
# **Energy above the most stable polymorph in this dataset**: 0.028 eV per atom
# **V**: 36.7 Å³ per atom
data_La5NdCd
_symmetry_space_group_name_H-M 'P 4/m m m'
_symmetry_Int_Tables_number 123
_symmetry_space_group_name_Hall '-P 4 2'
_cell_length_a 5.2773
_cell_length_b 5.2773
_cell_length_c 9.2244
_cell_angle_alpha 90.00
_cell_angle_beta 90.00
_cell_angle_gamma 90.00
loop_
_atom_site_label
_atom_site_type_symbol
_atom_site_fract_x
_atom_site_fract_y
_atom_site_fract_z
La1 La 0.0000 0.0000 0.0000
La2 La 0.0000 0.5000 0.2806
Nd1 Nd 0.5000 0.5000 0.0000
Cd1 Cd 0.0000 0.0000 0.5000

***

# 3
# La5Nd12Cd2, relaxed, DFT PBE-GGA
# **ρ**: 6.7 g/cm³
# **Calculated formation energy**: 0.4 eV/f.u.
# **Size of the total moment**: 0.0 μB per cell
# **V**: 34.5 Å³ per atom
data_La5Nd12Cd2
_symmetry_space_group_name_H-M 'C 1 2/m 1'
_symmetry_Int_Tables_number 12
_cell_length_a 15.9145
_cell_length_b 9.4015
_cell_length_c 8.7692
_cell_angle_alpha 90.00
_cell_angle_beta 93.62
_cell_angle_gamma 90.00
loop_
_symmetry_equiv_pos_as_xyz
'x,y,z'
'-x,-y,-z'
'-x,y,-z'
'x,-y,z'
'x+1/2,y+1/2,z'
'-x+1/2,-y+1/2,-z'
'-x+1/2,y+1/2,-z'
'x+1/2,-y+1/2,z'
loop_
_atom_site_label
_atom_site_type_symbol
_atom_site_fract_x
_atom_site_fract_y
_atom_site_fract_z
La1 La 0.0000 0.0000 0.0000
La2 La 0.2012 0.5000 0.5227
La3 La 0.2318 0.0000 0.0723
Nd1 Nd 0.0559 0.5000 0.8312
Nd2 Nd 0.0748 0.0000 0.3833
Nd3 Nd 0.1266 0.3066 0.1790
Nd4 Nd 0.1421 0.1837 0.7373
Cd1 Cd 0.0000 0.3322 0.5000

***

# 4
# LaNd2Cd, relaxed, DFT PBE-GGA
# **ρ**: 7.1 g/cm³
# **Calculated formation energy**: -0.5 eV/f.u.
# **Size of the total moment**: 0.0 μB per cell
# **Energy above the most stable polymorph in this dataset**: 0.041 eV per atom
# **V**: 31.6 Å³ per atom
data_LaNd2Cd
_symmetry_space_group_name_H-M 'P 4/m m m'
_symmetry_Int_Tables_number 123
_symmetry_space_group_name_Hall '-P 4 2'
_cell_length_a 5.0101
_cell_length_b 5.0101
_cell_length_c 5.0350
_cell_angle_alpha 90.00
_cell_angle_beta 90.00
_cell_angle_gamma 90.00
loop_
_atom_site_label
_atom_site_type_symbol
_atom_site_fract_x
_atom_site_fract_y
_atom_site_fract_z
La1 La 0.0000 0.0000 0.0000
Nd1 Nd 0.0000 0.5000 0.5000
Cd1 Cd 0.5000 0.5000 0.0000

***

# 5
# La9Nd2Cd, relaxed, DFT PBE-GGA
# **ρ**: 6.5 g/cm³
# **Calculated formation energy**: -0.4 eV/f.u.
# **Size of the total moment**: 0.0 μB per cell
# **V**: 35.2 Å³ per atom
data_La9Nd2Cd
_symmetry_space_group_name_H-M 'P 4/m m m'
_symmetry_Int_Tables_number 123
_symmetry_space_group_name_Hall '-P 4 2'
_cell_length_a 5.1805
_cell_length_b 5.1805
_cell_length_c 15.7254
_cell_angle_alpha 90.00
_cell_angle_beta 90.00
_cell_angle_gamma 90.00
loop_
_atom_site_label
_atom_site_type_symbol
_atom_site_fract_x
_atom_site_fract_y
_atom_site_fract_z
La1 La 0.0000 0.0000 0.0000
La2 La 0.0000 0.0000 0.3303
La3 La 0.0000 0.5000 0.1618
La4 La 0.0000 0.5000 0.5000
Nd1 Nd 0.5000 0.5000 0.3288
Cd1 Cd 0.5000 0.5000 0.0000

***

# 6
# LaNd12Cd3, relaxed, DFT PBE-GGA
# **ρ**: 7.1 g/cm³
# **Calculated formation energy**: -1.1 eV/f.u.
# **Size of the total moment**: 0.0 μB per cell
# **V**: 32.2 Å³ per atom
data_LaNd12Cd3
_symmetry_space_group_name_H-M 'P 4/m m m'
_symmetry_Int_Tables_number 123
_symmetry_space_group_name_Hall '-P 4 2'
_cell_length_a 5.0216
_cell_length_b 5.0216
_cell_length_c 20.4052
_cell_angle_alpha 90.00
_cell_angle_beta 90.00
_cell_angle_gamma 90.00
loop_
_atom_site_label
_atom_site_type_symbol
_atom_site_fract_x
_atom_site_fract_y
_atom_site_fract_z
La1 La 0.0000 0.0000 0.0000
Nd1 Nd 0.0000 0.5000 0.1328
Nd2 Nd 0.0000 0.5000 0.3783
Nd3 Nd 0.5000 0.5000 0.0000
Nd4 Nd 0.5000 0.5000 0.2564
Nd5 Nd 0.5000 0.5000 0.5000
Cd1 Cd 0.0000 0.0000 0.2579
Cd2 Cd 0.0000 0.0000 0.5000

***

# 7
# La6NdCd2, relaxed, DFT PBE-GGA
# **ρ**: 6.5 g/cm³
# **Calculated formation energy**: -1.3 eV/f.u.
# **Size of the total moment**: 0.0 μB per cell
# **Energy above the most stable polymorph in this dataset**: 0.000 eV per atom
# **V**: 34.0 Å³ per atom
data_La6NdCd2
_symmetry_space_group_name_H-M 'C 1 2/m 1'
_symmetry_Int_Tables_number 12
_cell_length_a 13.2026
_cell_length_b 3.9274
_cell_length_c 12.4265
_cell_angle_alpha 90.00
_cell_angle_beta 108.22
_cell_angle_gamma 90.00
loop_
_symmetry_equiv_pos_as_xyz
'x,y,z'
'-x,-y,-z'
'-x,y,-z'
'x,-y,z'
'x+1/2,y+1/2,z'
'-x+1/2,-y+1/2,-z'
'-x+1/2,y+1/2,-z'
'x+1/2,-y+1/2,z'
loop_
_atom_site_label
_atom_site_type_symbol
_atom_site_fract_x
_atom_site_fract_y
_atom_site_fract_z
La1 La 0.0216 0.0000 0.3372
La2 La 0.1805 0.5000 0.8766
La3 La 0.1888 0.5000 0.5896
Nd1 Nd 0.0000 0.0000 0.0000
Cd1 Cd 0.1463 0.5000 0.1996

***

# 8
# La4NdCd2, relaxed, DFT PBE-GGA
# **ρ**: 6.4 g/cm³
# **Calculated formation energy**: 0.9 eV/f.u.
# **Size of the total moment**: 0.0 μB per cell
# **Energy above the most stable polymorph in this dataset**: 0.288 eV per atom
# **V**: 34.2 Å³ per atom
data_La4NdCd2
_symmetry_space_group_name_H-M 'I 4/m m m'
_symmetry_Int_Tables_number 139
_symmetry_space_group_name_Hall '-I 4 2'
_cell_length_a 6.0787
_cell_length_b 6.0787
_cell_length_c 12.9498
_cell_angle_alpha 90.00
_cell_angle_beta 90.00
_cell_angle_gamma 90.00
loop_
_atom_site_label
_atom_site_type_symbol
_atom_site_fract_x
_atom_site_fract_y
_atom_site_fract_z
La1 La 0.0000 0.5000 0.0000
La2 La 0.0000 0.5000 0.2500
Nd1 Nd 0.0000 0.0000 0.0000
Cd1 Cd 0.0000 0.0000 0.3725

***

# 9
# LaNd2Cd8, relaxed, DFT PBE-GGA
# **ρ**: 7.7 g/cm³
# **Calculated formation energy**: -3.3 eV/f.u.
# **Size of the total moment**: 0.0 μB per cell
# **V**: 26.0 Å³ per atom
data_LaNd2Cd8
_symmetry_space_group_name_H-M 'C 1 2/m 1'
_symmetry_Int_Tables_number 12
_cell_length_a 8.4733
_cell_length_b 16.1874
_cell_length_c 5.3941
_cell_angle_alpha 90.00
_cell_angle_beta 129.36
_cell_angle_gamma 90.00
loop_
_symmetry_equiv_pos_as_xyz
'x,y,z'
'-x,-y,-z'
'-x,y,-z'
'x,-y,z'
'x+1/2,y+1/2,z'
'-x+1/2,-y+1/2,-z'
'-x+1/2,y+1/2,-z'
'x+1/2,-y+1/2,z'
loop_
_atom_site_label
_atom_site_type_symbol
_atom_site_fract_x
_atom_site_fract_y
_atom_site_fract_z
La1 La 0.0000 0.0000 0.0000
Nd1 Nd 0.0000 0.3078 0.5000
Cd1 Cd 0.0000 0.2017 0.0000
Cd2 Cd 0.0019 0.5000 0.2530
Cd3 Cd 0.2298 0.1276 0.7313

***

# 10
# La5NdCd2, relaxed, DFT PBE-GGA
# **ρ**: 6.8 g/cm³
# **Calculated formation energy**: -1.1 eV/f.u.
# **Size of the total moment**: 0.0 μB per cell
# **Energy above the most stable polymorph in this dataset**: 0.000 eV per atom
# **V**: 32.3 Å³ per atom
data_La5NdCd2
_symmetry_space_group_name_H-M 'P b a m'
_symmetry_Int_Tables_number 55
_cell_length_a 7.1389
_cell_length_b 14.2687
_cell_length_c 5.0714
_cell_angle_alpha 90.00
_cell_angle_beta 90.00
_cell_angle_gamma 90.00
loop_
_symmetry_equiv_pos_as_xyz
'x,y,z'
'-x,-y,-z'
'-x,-y,z'
'x,y,-z'
'x+1/2,-y+1/2,-z'
'-x+1/2,y+1/2,z'
'-x+1/2,y+1/2,-z'
'x+1/2,-y+1/2,z'
loop_
_atom_site_label
_atom_site_type_symbol
_atom_site_fract_x
_atom_site_fract_y
_atom_site_fract_z
La1 La 0.0000 0.0000 0.0000
La2 La 0.0059 0.2488 0.0000
La3 La 0.2432 0.3763 0.5000
Nd1 Nd 0.0000 0.5000 0.0000
Cd1 Cd 0.2479 0.6240 0.5000

***

Copy entry 7 word for word.
# La6NdCd2, relaxed, DFT PBE-GGA
# **ρ**: 6.5 g/cm³
# **Calculated formation energy**: -1.3 eV/f.u.
# **Size of the total moment**: 0.0 μB per cell
# **Energy above the most stable polymorph in this dataset**: 0.000 eV per atom
# **V**: 34.0 Å³ per atom
data_La6NdCd2
_symmetry_space_group_name_H-M 'C 1 2/m 1'
_symmetry_Int_Tables_number 12
_cell_length_a 13.2026
_cell_length_b 3.9274
_cell_length_c 12.4265
_cell_angle_alpha 90.00
_cell_angle_beta 108.22
_cell_angle_gamma 90.00
loop_
_symmetry_equiv_pos_as_xyz
'x,y,z'
'-x,-y,-z'
'-x,y,-z'
'x,-y,z'
'x+1/2,y+1/2,z'
'-x+1/2,-y+1/2,-z'
'-x+1/2,y+1/2,-z'
'x+1/2,-y+1/2,z'
loop_
_atom_site_label
_atom_site_type_symbol
_atom_site_fract_x
_atom_site_fract_y
_atom_site_fract_z
La1 La 0.0216 0.0000 0.3372
La2 La 0.1805 0.5000 0.8766
La3 La 0.1888 0.5000 0.5896
Nd1 Nd 0.0000 0.0000 0.0000
Cd1 Cd 0.1463 0.5000 0.1996